# BeFeTe2 | Alexandria via LeMat-Bulk | GGA-PBEsol | optimized geometry
data_BeFeTe2
_chemical_formula_sum 'Be2 Fe2 Te4'
_cell_length_a 3.3746
_cell_length_b 3.6307
_cell_length_c 12.6665
_cell_angle_alpha 90.00
_cell_angle_beta 90.00
_cell_angle_gamma 90.00
_space_group_name_H-M_alt 'I m m 2'
_space_group_IT_number 44
loop_
_space_group_symop_operation_xyz
'x,y,z'
'-x,-y,z'
'-x,y,z'
'x,-y,z'
'x+1/2,y+1/2,z+1/2'
'-x+1/2,-y+1/2,z+1/2'
'-x+1/2,y+1/2,z+1/2'
'x+1/2,-y+1/2,z+1/2'
loop_
_atom_site_label
_atom_site_fract_x
_atom_site_fract_y
_atom_site_fract_z
Be1 0.0000 0.0000 0.0000
Fe1 0.0000 0.5000 0.9123
Te1 0.0000 0.0000 0.5663
Te2 0.0000 0.5000 0.3227
# formation energy from raw total energies = 0.171 eV per atom



# BeFe3Te | Alexandria via LeMat-Bulk | GGA-PBEsol | optimized geometry
data_BeFe3Te
_chemical_formula_sum 'Be1 Fe3 Te1'
_cell_length_a 4.5765
_cell_length_b 4.5765
_cell_length_c 4.5765
_cell_angle_alpha 90.00
_cell_angle_beta 90.00
_cell_angle_gamma 90.00
_space_group_name_H-M_alt 'P m -3 m'
_space_group_IT_number 221
_space_group_name_Hall '-P 4 2 3'
loop_
_atom_site_label
_atom_site_fract_x
_atom_site_fract_y
_atom_site_fract_z
Be1 0.0000 0.0000 0.0000
Fe1 0.0000 0.5000 0.5000
Te1 0.5000 0.5000 0.5000
# formation energy from raw total energies = 1.601 eV per atom



# BeFeTe2 | Alexandria via LeMat-Bulk | GGA-PBEsol | optimized geometry
data_BeFeTe2
_chemical_formula_sum 'Be1 Fe1 Te2'
_cell_length_a 4.6499
_cell_length_b 4.6499
_cell_length_c 3.2698
_cell_angle_alpha 90.00
_cell_angle_beta 90.00
_cell_angle_gamma 90.00
_space_group_name_H-M_alt 'P 4/m m m'
_space_group_IT_number 123
_space_group_name_Hall '-P 4 2'
loop_
_atom_site_label
_atom_site_fract_x
_atom_site_fract_y
_atom_site_fract_z
Be1 0.0000 0.0000 0.0000
Fe1 0.5000 0.5000 0.0000
Te1 0.0000 0.5000 0.5000
# formation energy from raw total energies = 0.641 eV per atom



# TiBeFe3 | Alexandria via LeMat-Bulk | GGA-PBEsol | optimized geometry
data_TiBeFe3
_chemical_formula_sum 'Ti1 Be1 Fe3'
_cell_length_a 3.8527
_cell_length_b 3.8527
_cell_length_c 3.8527
_cell_angle_alpha 90.00
_cell_angle_beta 90.00
_cell_angle_gamma 90.00
_space_group_name_H-M_alt 'P m -3 m'
_space_group_IT_number 221
_space_group_name_Hall '-P 4 2 3'
loop_
_atom_site_label
_atom_site_fract_x
_atom_site_fract_y
_atom_site_fract_z
Ti1 0.0000 0.0000 0.0000
Be1 0.5000 0.5000 0.5000
Fe1 0.0000 0.5000 0.5000
# relative energy among the computed polymorphs = 0.000 eV/atom
# formation energy = 0.268 eV per atom



# TiBeFe3 | Alexandria via LeMat-Bulk | GGA-PBEsol | optimized geometry
data_TiBeFe3
_chemical_formula_sum 'Ti1 Be1 Fe3'
_cell_length_a 4.1821
_cell_length_b 4.1821
_cell_length_c 4.1821
_cell_angle_alpha 90.00
_cell_angle_beta 90.00
_cell_angle_gamma 90.00
_space_group_name_H-M_alt 'P m -3 m'
_space_group_IT_number 221
_space_group_name_Hall '-P 4 2 3'
loop_
_atom_site_label
_atom_site_fract_x
_atom_site_fract_y
_atom_site_fract_z
Ti1 0.0000 0.0000 0.0000
Be1 0.5000 0.5000 0.5000
Fe1 0.0000 0.0000 0.5000
# relative energy among the computed polymorphs = 1.138 eV/atom
# formation energy = 1.407 eV per atom



# TiBe2Fe2 | Alexandria via LeMat-Bulk | GGA-PBEsol | optimized geometry
data_TiBe2Fe2
_chemical_formula_sum 'Ti2 Be4 Fe4'
_cell_length_a 3.5726
_cell_length_b 3.5726
_cell_length_c 8.4510
_cell_angle_alpha 90.00
_cell_angle_beta 90.00
_cell_angle_gamma 90.00
_space_group_name_H-M_alt 'I 4/m m m'
_space_group_IT_number 139
_space_group_name_Hall '-I 4 2'
loop_
_atom_site_label
_atom_site_fract_x
_atom_site_fract_y
_atom_site_fract_z
Ti1 0.0000 0.0000 0.0000
Be1 0.0000 0.5000 0.2500
Fe1 0.0000 0.0000 0.3800
# formation energy = 0.119 eV per atom



# TiBe2TlFe | Alexandria via LeMat-Bulk | GGA-PBEsol | optimized geometry
data_TiBe2TlFe
_chemical_formula_sum 'Ti1 Be2 Tl1 Fe1'
_cell_length_a 4.3172
_cell_length_b 4.3172
_cell_length_c 4.8312
_cell_angle_alpha 90.00
_cell_angle_beta 90.00
_cell_angle_gamma 90.00
_space_group_name_H-M_alt 'P 4/m m m'
_space_group_IT_number 123
_space_group_name_Hall '-P 4 2'
loop_
_atom_site_label
_atom_site_fract_x
_atom_site_fract_y
_atom_site_fract_z
Ti1 0.0000 0.0000 0.0000
Be1 0.0000 0.5000 0.5000
Tl1 0.5000 0.5000 0.5000
Fe1 0.5000 0.5000 0.0000
# formation energy = 1.370 eV per atom



# Ti2BeFeW | Alexandria via LeMat-Bulk | GGA-PBEsol | optimized geometry
data_Ti2BeFeW
_chemical_formula_sum 'Ti2 Be1 Fe1 W1'
_cell_length_a 4.3102
_cell_length_b 4.3102
_cell_length_c 4.4705
_cell_angle_alpha 90.00
_cell_angle_beta 90.00
_cell_angle_gamma 90.00
_space_group_name_H-M_alt 'P 4/m m m'
_space_group_IT_number 123
_space_group_name_Hall '-P 4 2'
loop_
_atom_site_label
_atom_site_fract_x
_atom_site_fract_y
_atom_site_fract_z
Ti1 0.0000 0.5000 0.0000
Be1 0.0000 0.0000 0.5000
Fe1 0.5000 0.5000 0.0000
W1 0.5000 0.5000 0.5000
# formation energy = 0.851 eV per atom



# BeTlFe2 | Alexandria via LeMat-Bulk | GGA-PBEsol | optimized geometry
data_BeTlFe2
_chemical_formula_sum 'Be1 Tl1 Fe2'
_cell_length_a 2.9556
_cell_length_b 2.9556
_cell_length_c 6.0728
_cell_angle_alpha 90.00
_cell_angle_beta 90.00
_cell_angle_gamma 90.00
_space_group_name_H-M_alt 'P 4 m m'
_space_group_IT_number 99
loop_
_space_group_symop_operation_xyz
'x,y,z'
'-y,x,z'
'-x,-y,z'
'y,-x,z'
'-x,y,z'
'y,x,z'
'x,-y,z'
'-y,-x,z'
loop_
_atom_site_label
_atom_site_fract_x
_atom_site_fract_y
_atom_site_fract_z
Be1 0.0000 0.0000 0.0000
Tl1 0.5000 0.5000 0.6803
Fe1 0.0000 0.0000 0.3674
Fe2 0.5000 0.5000 0.1655
# formation energy = 0.338 eV per atom



# BeFe2W | Alexandria via LeMat-Bulk | GGA-PBEsol | optimized geometry
data_BeFe2W
_chemical_formula_sum 'Be1 Fe2 W1'
_cell_length_a 2.6058
_cell_length_b 2.6058
_cell_length_c 6.3667
_cell_angle_alpha 90.00
_cell_angle_beta 90.00
_cell_angle_gamma 90.00
_space_group_name_H-M_alt 'P 4 m m'
_space_group_IT_number 99
loop_
_space_group_symop_operation_xyz
'x,y,z'
'-y,x,z'
'-x,-y,z'
'y,-x,z'
'-x,y,z'
'y,x,z'
'x,-y,z'
'-y,-x,z'
loop_
_atom_site_label
_atom_site_fract_x
_atom_site_fract_y
_atom_site_fract_z
Be1 0.0000 0.0000 0.0000
Fe1 0.0000 0.0000 0.4212
Fe2 0.5000 0.5000 0.1963
W1 0.5000 0.5000 0.7308
# formation energy = 0.064 eV per atom



# Be2FeW | Alexandria via LeMat-Bulk | GGA-PBEsol | optimized geometry
data_Be2FeW
_chemical_formula_sum 'Be6 Fe3 W3'
_cell_length_a 2.6021
_cell_length_b 2.6021
_cell_length_c 23.6307
_cell_angle_alpha 90.00
_cell_angle_beta 90.00
_cell_angle_gamma 120.00
_space_group_name_H-M_alt 'R -3 m'
_space_group_IT_number 166
_space_group_name_Hall '-R 3 2"'
loop_
_atom_site_label
_atom_site_fract_x
_atom_site_fract_y
_atom_site_fract_z
Be1 0.0000 0.0000 0.2435
Fe1 0.0000 0.0000 0.5000
W1 0.0000 0.0000 0.0000
# formation energy = 0.348 eV per atom



# BeFe2W | Alexandria via LeMat-Bulk | GGA-PBEsol | optimized geometry
data_BeFe2W
_chemical_formula_sum 'Be1 Fe2 W1'
_cell_length_a 2.8536
_cell_length_b 2.8536
_cell_length_c 5.3508
_cell_angle_alpha 90.00
_cell_angle_beta 90.00
_cell_angle_gamma 90.00
_space_group_name_H-M_alt 'P 4/m m m'
_space_group_IT_number 123
_space_group_name_Hall '-P 4 2'
loop_
_atom_site_label
_atom_site_fract_x
_atom_site_fract_y
_atom_site_fract_z
Be1 0.0000 0.0000 0.0000
Fe1 0.5000 0.5000 0.2264
W1 0.0000 0.0000 0.5000
# formation energy = -0.071 eV per atom



# YBe2Fe | Alexandria via LeMat-Bulk | GGA-PBEsol | optimized geometry
data_YBe2Fe
_chemical_formula_sum 'Y2 Be4 Fe2'
_cell_length_a 6.4183
_cell_length_b 3.6889
_cell_length_c 5.1814
_cell_angle_alpha 90.00
_cell_angle_beta 114.11
_cell_angle_gamma 90.00
_space_group_name_H-M_alt 'C 1 2/m 1'
_space_group_IT_number 12
loop_
_space_group_symop_operation_xyz
'x,y,z'
'-x,-y,-z'
'-x,y,-z'
'x,-y,z'
'x+1/2,y+1/2,z'
'-x+1/2,-y+1/2,-z'
'-x+1/2,y+1/2,-z'
'x+1/2,-y+1/2,z'
loop_
_atom_site_label
_atom_site_fract_x
_atom_site_fract_y
_atom_site_fract_z
Y1 0.0000 0.0000 0.0000
Be1 0.1939 0.0000 0.5809
Fe1 0.0000 0.5000 0.5000
# relative energy among the computed polymorphs = 0.000 eV/atom
# formation energy = -0.012 eV per atom



# YBe2Fe | Alexandria via LeMat-Bulk | GGA-PBEsol | optimized geometry
data_YBe2Fe
_chemical_formula_sum 'Y2 Be4 Fe2'
_cell_length_a 4.9136
_cell_length_b 6.9672
_cell_length_c 3.0950
_cell_angle_alpha 90.00
_cell_angle_beta 90.00
_cell_angle_gamma 90.00
_space_group_name_H-M_alt 'C m m m'
_space_group_IT_number 65
_space_group_name_Hall '-C 2 2'
loop_
_atom_site_label
_atom_site_fract_x
_atom_site_fract_y
_atom_site_fract_z
Y1 0.0000 0.0000 0.0000
Be1 0.2500 0.2500 0.5000
Fe1 0.0000 0.5000 0.0000
# relative energy among the computed polymorphs = 0.485 eV/atom
# formation energy = 0.473 eV per atom



# YBe2Fe2 | Alexandria via LeMat-Bulk | GGA-PBEsol | optimized geometry
data_YBe2Fe2
_chemical_formula_sum 'Y2 Be4 Fe4'
_cell_length_a 3.8866
_cell_length_b 3.8866
_cell_length_c 8.5560
_cell_angle_alpha 90.00
_cell_angle_beta 90.00
_cell_angle_gamma 90.00
_space_group_name_H-M_alt 'I 4/m m m'
_space_group_IT_number 139
_space_group_name_Hall '-I 4 2'
loop_
_atom_site_label
_atom_site_fract_x
_atom_site_fract_y
_atom_site_fract_z
Y1 0.0000 0.0000 0.0000
Be1 0.0000 0.5000 0.2500
Fe1 0.0000 0.0000 0.3720
# formation energy = 0.054 eV per atom



# BeZnFe3 | Alexandria via LeMat-Bulk | GGA-PBEsol | optimized geometry
data_BeZnFe3
_chemical_formula_sum 'Be1 Zn1 Fe3'
_cell_length_a 3.8725
_cell_length_b 3.8725
_cell_length_c 3.8725
_cell_angle_alpha 90.00
_cell_angle_beta 90.00
_cell_angle_gamma 90.00
_space_group_name_H-M_alt 'P m -3 m'
_space_group_IT_number 221
_space_group_name_Hall '-P 4 2 3'
loop_
_atom_site_label
_atom_site_fract_x
_atom_site_fract_y
_atom_site_fract_z
Be1 0.0000 0.0000 0.0000
Zn1 0.5000 0.5000 0.5000
Fe1 0.0000 0.0000 0.5000
# formation energy = 0.533 eV per atom



# BeZn2Fe | Alexandria via LeMat-Bulk | GGA-PBEsol | optimized geometry
data_BeZn2Fe
_chemical_formula_sum 'Be3 Zn6 Fe3'
_cell_length_a 2.5410
_cell_length_b 2.5410
_cell_length_c 24.9262
_cell_angle_alpha 90.00
_cell_angle_beta 90.00
_cell_angle_gamma 120.00
_space_group_name_H-M_alt 'R 3 m'
_space_group_IT_number 160
_space_group_name_Hall 'R 3 -2"'
loop_
_atom_site_label
_atom_site_fract_x
_atom_site_fract_y
_atom_site_fract_z
Be1 0.0000 0.0000 0.0000
Zn1 0.0000 0.0000 0.2502
Zn2 0.0000 0.0000 0.4885
Fe1 0.0000 0.0000 0.7374
# formation energy = 0.092 eV per atom



# Be2ZnFe | Alexandria via LeMat-Bulk | GGA-PBEsol | optimized geometry
data_Be2ZnFe
_chemical_formula_sum 'Be2 Zn1 Fe1'
_cell_length_a 2.5914
_cell_length_b 2.5914
_cell_length_c 5.8802
_cell_angle_alpha 90.00
_cell_angle_beta 90.00
_cell_angle_gamma 90.00
_space_group_name_H-M_alt 'P 4 m m'
_space_group_IT_number 99
loop_
_space_group_symop_operation_xyz
'x,y,z'
'-y,x,z'
'-x,-y,z'
'y,-x,z'
'-x,y,z'
'y,x,z'
'x,-y,z'
'-y,-x,z'
loop_
_atom_site_label
_atom_site_fract_x
_atom_site_fract_y
_atom_site_fract_z
Be1 0.0000 0.0000 0.0000
Be2 0.5000 0.5000 0.1949
Zn1 0.5000 0.5000 0.7335
Fe1 0.0000 0.0000 0.4272
# formation energy = 0.021 eV per atom



# Be2ZnFe | Alexandria via LeMat-Bulk | GGA-PBEsol | optimized geometry
data_Be2ZnFe
_chemical_formula_sum 'Be8 Zn4 Fe4'
_cell_length_a 5.8988
_cell_length_b 5.8988
_cell_length_c 4.7276
_cell_angle_alpha 90.00
_cell_angle_beta 90.00
_cell_angle_gamma 90.00
_space_group_name_H-M_alt 'I -4 2 d'
_space_group_IT_number 122
_space_group_name_Hall 'I -4 2bw'
loop_
_atom_site_label
_atom_site_fract_x
_atom_site_fract_y
_atom_site_fract_z
Be1 0.2419 0.2500 0.1250
Zn1 0.0000 0.0000 0.5000
Fe1 0.0000 0.0000 0.0000
# formation energy = 0.394 eV per atom



# ZrBeFe | Alexandria via LeMat-Bulk | GGA-PBEsol | optimized geometry
data_ZrBeFe
_chemical_formula_sum 'Zr1 Be1 Fe1'
_cell_length_a 3.7885
_cell_length_b 3.7885
_cell_length_c 3.2376
_cell_angle_alpha 90.00
_cell_angle_beta 90.00
_cell_angle_gamma 120.00
_space_group_name_H-M_alt 'P -6 m 2'
_space_group_IT_number 187
_space_group_name_Hall 'P -6 2'
loop_
_atom_site_label
_atom_site_fract_x
_atom_site_fract_y
_atom_site_fract_z
Zr1 0.0000 0.0000 0.0000
Be1 0.3333 0.6667 0.5000
Fe1 0.6667 0.3333 0.5000
# formation energy = -0.093 eV per atom



| no. | D(E_F) (states/eV/cell) |
| --- | --- |
| 1 | 4.652 |
| 2 | 5.748 |
| 3 | 4.345 |
| 4 | 4.290 |
| 5 | 4.934 |
| 6 | 4.932 |
| 7 | 4.569 |
| 8 | 5.141 |
| 9 | 3.531 |
| 10 | 4.074 |
| 11 | 8.053 |
| 12 | 2.191 |
| 13 | 7.304 |
| 14 | 5.769 |
| 15 | 7.467 |
| 16 | 4.465 |
| 17 | 5.236 |
| 18 | 1.200 |
| 19 | 0.780 |
| 20 | 2.140 |